1.
# Pm2Bi2Pd15 | the Alexandria database | GGA-PBE | relaxed
data_Pm2Bi2Pd15
_cell_length_a 9.3631
_cell_length_b 9.3631
_cell_length_c 13.9170
_cell_angle_alpha 90.00
_cell_angle_beta 90.00
_cell_angle_gamma 120.00
_space_group_name_H-M_alt 'R -3 m'
_space_group_IT_number 166
_space_group_name_Hall '-R 3 2"'
loop_
_atom_site_label
_atom_site_type_symbol
_atom_site_fract_x
_atom_site_fract_y
_atom_site_fract_z
_atom_site_occupancy
Pm1 Pm 0.0000 0.0000 0.1423 1
Bi1 Bi 0.0000 0.0000 0.3932 1
Pd1 Pd 0.0000 0.3331 0.5000 1
Pd2 Pd 0.0000 0.5000 0.0000 1
Pd3 Pd 0.0087 0.5044 0.6645 1
# - E_form (meV per atom) = -360

---

2.
# Ac12Sn7Pb | the Alexandria database | GGA-PBE | relaxed
data_Ac12Sn7Pb
_cell_length_a 16.2068
_cell_length_b 16.2068
_cell_length_c 10.2491
_cell_angle_alpha 90.00
_cell_angle_beta 90.00
_cell_angle_gamma 120.00
_space_group_name_H-M_alt 'R -3'
_space_group_IT_number 148
_space_group_name_Hall '-R 3'
loop_
_atom_site_label
_atom_site_type_symbol
_atom_site_fract_x
_atom_site_fract_y
_atom_site_fract_z
_atom_site_occupancy
Ac1 Ac 0.0354 0.8632 0.1969 1
Ac2 Ac 0.0418 0.7834 0.5746 1
Sn1 Sn 0.0000 0.0000 0.5000 1
Sn2 Sn 0.0541 0.5867 0.5757 1
Pb1 Pb 0.0000 0.0000 0.0000 1
# - E_form (meV per atom) = -455

---

3.
# KYTl2 | the Alexandria database | GGA-PBE | relaxed
data_KYTl2
_cell_length_a 5.226
_cell_length_b 5.235
_cell_length_c 10.188
_cell_angle_alpha 90.00
_cell_angle_beta 90.00
_cell_angle_gamma 90.00
_space_group_name_H-M_alt 'C m m 2'
_space_group_IT_number 35
loop_
_space_group_symop_operation_xyz
'x,y,z'
'-x,-y,z'
'-x,y,z'
'x,-y,z'
'x+1/2,y+1/2,z'
'-x+1/2,-y+1/2,z'
'-x+1/2,y+1/2,z'
'x+1/2,-y+1/2,z'
loop_
_atom_site_label
_atom_site_type_symbol
_atom_site_fract_x
_atom_site_fract_y
_atom_site_fract_z
_atom_site_occupancy
K1 K 0.000 0.000 0.000 1
Y1 Y 0.000 0.500 0.341 1
Tl1 Tl 0.000 0.000 0.529 1
Tl2 Tl 0.000 0.500 0.733 1
# - E_form (meV per atom) = 27
# - relative energy among the computed polymorphs (meV/atom) = 237

---

4.
# Mg3CdPd12 | the Alexandria database | GGA-PBE | relaxed
data_Mg3CdPd12
_cell_length_a 3.987
_cell_length_b 3.987
_cell_length_c 15.921
_cell_angle_alpha 90.00
_cell_angle_beta 90.00
_cell_angle_gamma 90.00
_space_group_name_H-M_alt 'P 4/m m m'
_space_group_IT_number 123
_space_group_name_Hall '-P 4 2'
loop_
_atom_site_label
_atom_site_type_symbol
_atom_site_fract_x
_atom_site_fract_y
_atom_site_fract_z
_atom_site_occupancy
Mg1 Mg 0.000 0.000 0.000 1
Mg2 Mg 0.000 0.000 0.248 1
Cd1 Cd 0.000 0.000 0.500 1
Pd1 Pd 0.000 0.500 0.124 1
Pd2 Pd 0.000 0.500 0.371 1
Pd3 Pd 0.500 0.500 0.000 1
Pd4 Pd 0.500 0.500 0.247 1
Pd5 Pd 0.500 0.500 0.500 1
# - E_form (meV per atom) = -408

---

5.
# Tb3Pm6Y | the Alexandria database | GGA-PBE | relaxed
data_Tb3Pm6Y
_cell_length_a 10.905
_cell_length_b 19.287
_cell_length_c 6.427
_cell_angle_alpha 90.00
_cell_angle_beta 90.00
_cell_angle_gamma 90.00
_space_group_name_H-M_alt 'C m c 21'
_space_group_IT_number 36
loop_
_space_group_symop_operation_xyz
'x,y,z'
'-x,-y,z+1/2'
'-x,y,z'
'x,-y,z+1/2'
'x+1/2,y+1/2,z'
'-x+1/2,-y+1/2,z+1/2'
'-x+1/2,y+1/2,z'
'x+1/2,-y+1/2,z+1/2'
loop_
_atom_site_label
_atom_site_type_symbol
_atom_site_fract_x
_atom_site_fract_y
_atom_site_fract_z
_atom_site_occupancy
Tb1 Tb 0.000 0.114 0.000 1
Tb2 Tb 0.171 0.385 0.387 1
Pm1 Pm 0.000 0.220 0.569 1
Pm2 Pm 0.000 0.468 0.787 1
Pm3 Pm 0.171 0.043 0.467 1
Pm4 Pm 0.230 0.211 0.275 1
Y1 Y 0.000 0.310 0.022 1
# - E_form (meV per atom) = 144

---

6.
# Tb2YHo2Tm2 | the Alexandria database | GGA-PBE | relaxed
data_Tb2YHo2Tm2
_cell_length_a 5.6260
_cell_length_b 5.6260
_cell_length_c 24.2735
_cell_angle_alpha 90.00
_cell_angle_beta 90.00
_cell_angle_gamma 120.00
_space_group_name_H-M_alt 'R -3 m'
_space_group_IT_number 166
_space_group_name_Hall '-R 3 2"'
loop_
_atom_site_label
_atom_site_type_symbol
_atom_site_fract_x
_atom_site_fract_y
_atom_site_fract_z
_atom_site_occupancy
Tb1 Tb 0.0000 0.0000 0.1423 1
Y1 Y 0.0000 0.0000 0.0000 1
Ho1 Ho 0.0000 0.0000 0.4264 1
Tm1 Tm 0.0000 0.0000 0.2845 1
# - E_form (meV per atom) = 141

---

7.
# LaCrTe2 | the Alexandria database | GGA-PBE | relaxed
data_LaCrTe2
_cell_length_a 4.7544
_cell_length_b 4.7544
_cell_length_c 25.8934
_cell_angle_alpha 90.00
_cell_angle_beta 90.00
_cell_angle_gamma 120.00
_space_group_name_H-M_alt 'R -3 m'
_space_group_IT_number 166
_space_group_name_Hall '-R 3 2"'
loop_
_atom_site_label
_atom_site_type_symbol
_atom_site_fract_x
_atom_site_fract_y
_atom_site_fract_z
_atom_site_occupancy
La1 La 0.0000 0.0000 0.0000 1
Cr1 Cr 0.0000 0.0000 0.5000 1
Te1 Te 0.0000 0.0000 0.3996 1
# - formation energy without anion corrections (eV per atom) = 0.03
# - relative energy among the computed polymorphs (meV/atom) = 817

---

8.
# MnMo2Pt | the Alexandria database | GGA-PBE | relaxed
data_MnMo2Pt
_cell_length_a 3.821
_cell_length_b 3.821
_cell_length_c 8.043
_cell_angle_alpha 90.00
_cell_angle_beta 90.00
_cell_angle_gamma 90.00
_space_group_name_H-M_alt 'I 4/m m m'
_space_group_IT_number 139
_space_group_name_Hall '-I 4 2'
loop_
_atom_site_label
_atom_site_type_symbol
_atom_site_fract_x
_atom_site_fract_y
_atom_site_fract_z
_atom_site_occupancy
Mn1 Mn 0.000 0.000 0.000 1
Mo1 Mo 0.000 0.500 0.250 1
Pt1 Pt 0.000 0.000 0.500 1
# - E_form (meV per atom) = -106
# - relative energy among the computed polymorphs (meV/atom) = 13

---

Number 1: density 10.9 g/cm³, uncorrected energy -5.368 eV per atom. Number 2: density 8.0 g/cm³, uncorrected energy -4.507 eV per atom. Number 3: density 6.4 g/cm³, uncorrected energy -3.047 eV per atom. Number 4: density 9.6 g/cm³, uncorrected energy -4.659 eV per atom. Number 5: density 7.1 g/cm³, uncorrected energy -4.742 eV per atom. Number 6: density 8.0 g/cm³, uncorrected energy -4.691 eV per atom. Number 7: density 4.4 g/cm³, uncorrected energy -5.175 eV per atom. Number 8: density 12.5 g/cm³, uncorrected energy -9.324 eV per atom.